Here is TaTcW2 after structural relaxation from the Alexandria database. Energies are from PBE-GGA.

Geometry as POSCAR:
```
TaTcW2
1.0
3.182 0.000 0.000
0.000 3.182 0.000
0.000 0.000 6.414
Ta Tc W
1 1 2
direct
0.500 0.500 0.250
0.500 0.500 0.750
0.000 0.000 0.995
0.000 0.000 0.505
```

Results
Offset from the most stable computed form   0.41 eV per formula unit


Here is HoSn4 after structural relaxation from the Alexandria database. Energies are from PBE-GGA.

Geometry as POSCAR:
```
HoSn4
1.0
-1.278 4.301 -0.122
-1.490 -0.268 6.157
10.435 3.092 -0.239
Ho Sn
2 8
direct
0.000 0.000 0.000
0.500 0.000 0.500
0.476 0.129 0.214
0.976 0.871 0.286
0.524 0.871 0.786
0.024 0.129 0.714
0.746 0.495 0.587
0.246 0.505 0.913
0.254 0.505 0.413
0.754 0.495 0.087
```

Results
Offset from the most stable computed form   0.64 eV per formula unit


Here is Tl2MoSe after structural relaxation from the Alexandria database. Energies are from PBE-GGA.

Geometry as POSCAR:
```
Tl2MoSe
1.0
-6.644 1.437 -4.587
-6.169 -1.616 -5.156
-3.164 -0.948 2.446
Mo Se Tl
1 1 2
direct
0.750 0.750 0.750
0.250 0.250 0.250
0.074 0.074 0.926
0.426 0.426 0.574
```

Results
Offset from the most stable computed form   0.83 eV per formula unit
Formation energy (no corrections)   1.13 eV/f.u.


Here is Mn2BPbC after structural relaxation from the Alexandria database. Energies are from PBE-GGA.

Geometry as POSCAR:
```
Mn2BPbC
1.0
-3.263 -1.397 1.154
2.308 -4.432 1.162
0.681 1.258 3.448
Pb C Mn B
1 1 2 1
direct
0.000 0.500 0.000
0.000 0.000 0.000
0.000 0.000 0.500
0.500 0.000 0.000
0.500 0.500 0.500
```


no.,E_tot (eV per cell)
1,-48.35
2,-42.83
3,-17.92
4,-31.20